Below is an optimized crystal structure of Hf2Zr3Cd, with properties calculated at the GGA-PBE level.

Summary:
space-group type	P2_1/m, No. 11
D(E_F)	0.749	states/eV/atom
total DFT energy (no corrections)	-7.59	eV per atom
energy above the lowest structure with this stoichiometry	193	meV/atom

```
Hf2Zr3Cd
1.0
-4.036 2.944 -2.712
5.168 -0.991 -8.768
-9.431 -2.683 11.124
Hf Cd Zr
4 2 6
direct
0.999 0.302 0.277
0.499 0.698 0.723
0.001 0.698 0.723
0.501 0.302 0.277
0.750 0.961 0.599
0.250 0.039 0.401
0.750 0.332 0.034
0.750 0.867 0.178
0.250 0.637 0.324
0.250 0.133 0.822
0.750 0.363 0.676
0.250 0.668 0.966
```

Below is an optimized crystal structure of BeZn2Mo, with properties calculated at the GGA-PBE level.

Summary:
space-group type	R-3m, No. 166
D(E_F)	0.461	states/eV/atom
total DFT energy (no corrections)	-4.00	eV per atom

```
BeZn2Mo
1.0
8.672 -0.012 -0.007
8.248 2.679 -0.007
8.248 1.300 2.342
Zn Be Mo
2 1 1
direct
0.507 0.507 0.507
0.993 0.993 0.993
0.250 0.250 0.250
0.750 0.750 0.750
```